No. 1
The following is a meta-GGA SCAN calculation of a crystal of HgMo2Au relaxed with PBEsol, from the Alexandria database.

Structure (POSCAR):
```
HgMo2Au
1.0
-2.018 2.018 4.042
2.018 -2.018 4.042
2.018 2.018 -4.042
Hg Mo Au
1 2 1
Cartesian
0.000 0.000 0.000
0.000 0.000 4.042
0.000 2.018 2.021
2.018 0.000 2.021
```

## Properties
DOS at the Fermi energy = 2.4 states/eV/f.u.
ΔH_f (0 K) = 0.412 eV/atom
magnetization = 0.0 μB per formula unit

No. 2
The following is a meta-GGA SCAN calculation of a crystal of HgMoAu4 relaxed with PBEsol, from the Alexandria database.

Structure (POSCAR):
```
HgMoAu4
1.0
0.000 3.812 3.812
3.812 0.000 3.812
3.812 3.812 0.000
Hg Mo Au
1 1 4
Cartesian
0.000 0.000 0.000
1.906 1.906 1.906
4.763 2.860 2.860
2.860 4.763 2.860
2.860 2.860 4.763
4.763 4.763 4.763
```

## Properties
DOS at the Fermi energy = 3.0 states/eV/f.u.
ΔH_f (0 K) = 0.414 eV/atom
magnetization = 4.1 μB per formula unit

No. 3
The following is a meta-GGA SCAN calculation of a crystal of HgAuN2O relaxed with PBEsol, from the Alexandria database.

Structure (POSCAR):
```
HgAuN2O
1.0
4.206 0.000 0.000
0.000 4.206 0.000
0.000 0.000 4.166
Hg Au N O
1 1 2 1
Cartesian
0.000 0.000 0.000
2.103 2.103 2.083
0.000 2.103 0.000
2.103 0.000 0.000
0.000 0.000 2.083
```

## Properties
DOS at the Fermi energy = 2.3 states/eV/f.u.
formation energy from raw total energies = 203.64 kJ/mol of atoms
magnetization = 3.3 μB per formula unit

No. 4
The following is a meta-GGA SCAN calculation of a crystal of HgAuS2N relaxed with PBEsol, from the Alexandria database.

Structure (POSCAR):
```
HgAuS2N
1.0
5.018 0.000 0.000
0.000 5.018 0.000
0.000 0.000 3.700
Hg Au S N
1 1 2 1
Cartesian
0.000 0.000 0.000
2.509 2.509 1.850
0.000 2.509 1.850
2.509 0.000 1.850
2.509 2.509 0.000
```

## Properties
DOS at the Fermi energy = 3.1 states/eV/f.u.
formation energy from raw total energies = 104.95 kJ/mol of atoms
magnetization = 0.0 μB per formula unit

No. 5
The following is a meta-GGA SCAN calculation of a crystal of HgTeAuN2 relaxed with PBEsol, from the Alexandria database.

Structure (POSCAR):
```
HgTeAuN2
1.0
4.104 0.000 0.000
0.000 4.104 0.000
0.000 0.000 6.311
Hg Te Au N
1 1 1 2
Cartesian
0.000 0.000 0.000
0.000 0.000 3.156
2.052 2.052 3.156
0.000 2.052 0.000
2.052 0.000 0.000
```

## Properties
DOS at the Fermi energy = 2.2 states/eV/f.u.
formation energy from raw total energies = 166.90 kJ/mol of atoms
magnetization = 3.8 μB per formula unit

No. 6
The following is a meta-GGA SCAN calculation of a crystal of Na2HgAu2 relaxed with PBEsol, from the Alexandria database.

Structure (POSCAR):
```
Na2HgAu2
1.0
7.269 0.000 0.000
0.000 7.269 0.000
0.000 0.000 4.157
Na Hg Au
4 2 4
Cartesian
1.215 2.420 0.000
2.420 6.054 0.000
4.850 1.215 0.000
6.054 4.850 0.000
0.000 0.000 2.079
3.635 3.635 2.079
0.965 4.600 2.079
2.670 0.965 2.079
4.600 6.304 2.079
6.304 2.670 2.079
```

## Properties
DOS at the Fermi energy = 1.0 states/eV/f.u.
energy above the most stable polymorph in this dataset = 0.0 meV/atom
ΔH_f (0 K) = -0.354 eV/atom
magnetization = 0.0 μB per formula unit

No. 7
The following is a meta-GGA SCAN calculation of a crystal of Na2HgAu2 relaxed with PBEsol, from the Alexandria database.

Structure (POSCAR):
```
Na2HgAu2
1.0
-1.883 1.883 8.395
1.883 -1.883 8.395
1.883 1.883 -8.395
Na Hg Au
2 1 2
Cartesian
0.000 0.000 1.851
0.000 0.000 14.939
0.000 0.000 8.395
1.883 0.000 4.198
0.000 1.883 4.198
```

## Properties
DOS at the Fermi energy = 1.6 states/eV/f.u.
energy above the most stable polymorph in this dataset = 64.8 meV/atom
ΔH_f (0 K) = -0.289 eV/atom
magnetization = 0.0 μB per formula unit

No. 8
The following is a meta-GGA SCAN calculation of a crystal of NaHgSbAu2 relaxed with PBEsol, from the Alexandria database.

Structure (POSCAR):
```
NaHgSbAu2
1.0
5.115 0.000 0.000
0.000 5.115 0.000
0.000 0.000 5.899
Na Hg Sb Au
1 1 1 2
Cartesian
0.000 0.000 0.000
2.558 2.558 0.000
0.000 0.000 2.949
0.000 2.558 2.949
2.558 0.000 2.949
```

## Properties
DOS at the Fermi energy = 1.2 states/eV/f.u.
formation energy from raw total energies = 1.92 kJ/mol of atoms
magnetization = 0.0 μB per formula unit